No. 1
DFT (PBE) results for a relaxed structure of Mn2Pd6Pt.

Structure (POSCAR):
```
Mn2Pd6Pt
1.0
-2.5539 1.0198 2.7153
1.3944 -5.1945 3.2623
4.9075 3.8430 0.4223
Mn Pd Pt
2 6 1
Cartesian
1.5685 -3.7854 2.8969 Mn
2.1794 3.4537 3.5030 Mn
4.0204 -0.9286 4.1301 Pd
1.4876 -1.9141 4.8682 Pd
2.2604 1.5824 1.5317 Pd
1.9102 -1.1560 2.2307 Pd
-0.2724 0.5969 2.2698 Pd
1.8378 0.8243 4.1692 Pd
-0.5798 -2.0874 2.9888 Pt
```

Results
Calculated total energy ... -6.37 eV per atom
Symmetry ... C2/m
M_tot ... 9.7 μB/f.u.
Energy of formation from the pure elements ... -202 meV per atom

No. 2
DFT (PBE) results for a relaxed structure of Mn2PdPt.

Structure (POSCAR):
```
Mn2PdPt
1.0
3.1916 0.0000 0.0000
0.0000 3.1916 0.0000
0.0000 0.0000 5.9810
Mn Pd Pt
2 1 1
Cartesian
0.0000 0.0000 1.4874 Mn
0.0000 0.0000 4.4936 Mn
1.5958 1.5958 2.9905 Pd
1.5958 1.5958 0.0000 Pt
```

Results
Calculated total energy ... -7.66 eV per atom
Symmetry ... P4/mmm
M_tot ... 8.9 μB/f.u.
Energy of formation from the pure elements ... -268 meV per atom

- The highest energy of formation from the pure elements belongs to which entry?
  Mn2Pd6Pt

- Number 1 is which compound?
  Mn2Pd6Pt

What did the first record say?
DFT (PBE) results for a relaxed structure of Mn2Pd6Pt.

Structure (POSCAR):
```
Mn2Pd6Pt
1.0
-2.5539 1.0198 2.7153
1.3944 -5.1945 3.2623
4.9075 3.8430 0.4223
Mn Pd Pt
2 6 1
Cartesian
1.5685 -3.7854 2.8969 Mn
2.1794 3.4537 3.5030 Mn
4.0204 -0.9286 4.1301 Pd
1.4876 -1.9141 4.8682 Pd
2.2604 1.5824 1.5317 Pd
1.9102 -1.1560 2.2307 Pd
-0.2724 0.5969 2.2698 Pd
1.8378 0.8243 4.1692 Pd
-0.5798 -2.0874 2.9888 Pt
```

Results
Calculated total energy ... -6.37 eV per atom
Symmetry ... C2/m
M_tot ... 9.7 μB/f.u.
Energy of formation from the pure elements ... -202 meV per atom